Material: WF
Method: DFT, PBE+U
State: optimized geometry

The structure belongs to space group Pm-3n (No. 223); the cell edges are 6.810, 6.810 and 6.810 Å and the angles 90.00°, 90.00° and 90.00°. The distinct sites, in fractional coordinates, are W at (0.000, 0.250, 0.500) and F at (0.000, 0.500, 0.250).

The energy above the lowest structure with this stoichiometry is 1.439 eV per atom. For the total magnetization, the calculation gives 2.253 μB per atom. The calculation puts the theoretical density at 6.399 g cm⁻³. The value obtained for the total energy is -4.01 eV per atom.